(1)
Pu2ThBi: relaxed, PBE.

Computed properties:
offset from the most stable computed form = 0.065 eV/atom
density of states at the Fermi level = 3.432 states/eV/atom
calculated volume = 28.85 Å³ per atom
energy relative to the elements = -142.9 meV per atom
E = -40.5 eV per formula unit
total magnetization = 12.3 μB/cell

```
data_Pu2ThBi
_cell_length_a 4.161
_cell_length_b 4.161
_cell_length_c 6.665
_cell_angle_alpha 90.00
_cell_angle_beta 90.00
_cell_angle_gamma 90.00
_symmetry_space_group_name_H-M 'P 4/m m m'
_symmetry_Int_Tables_number 123
_symmetry_space_group_name_Hall '-P 4 2'
loop_
_atom_site_label
_atom_site_fract_x
_atom_site_fract_y
_atom_site_fract_z
_atom_site_occupancy
Pu1 0.000 0.000 0.235 1
Th1 0.500 0.500 0.500 1
Bi1 0.500 0.500 0.000 1
```

(2)
ZrTlCu: relaxed, PBE.

Computed properties:
density of states at the Fermi level = 0.634 states/eV/atom
calculated volume = 20.09 Å³ per atom
energy relative to the elements = 34.6 meV per atom
E = -14.9 eV per formula unit
total magnetization = 0.0 μB/cell

```
data_ZrTlCu
_cell_length_a 3.291
_cell_length_b 6.255
_cell_length_c 6.360
_cell_angle_alpha 106.98
_cell_angle_beta 104.99
_cell_angle_gamma 90.00
_symmetry_space_group_name_H-M 'P -1'
_symmetry_Int_Tables_number 2
loop_
_symmetry_equiv_pos_as_xyz
'x,y,z'
'-x,-y,-z'
loop_
_atom_site_label
_atom_site_fract_x
_atom_site_fract_y
_atom_site_fract_z
_atom_site_occupancy
Zr1 0.165 0.096 0.329 1
Tl1 0.134 0.576 0.272 1
Cu1 0.500 0.207 0.001 1
```

(3)
PrY2Al6: relaxed, PBE.

Computed properties:
offset from the most stable computed form = 0.000 eV/atom
density of states at the Fermi level = 0.494 states/eV/atom
calculated volume = 21.78 Å³ per atom
energy relative to the elements = -482.6 meV per atom
E = -44.5 eV per formula unit
total magnetization = 0.0 μB/cell

```
data_PrY2Al6
_cell_length_a 7.9508
_cell_length_b 7.9508
_cell_length_c 3.5811
_cell_angle_alpha 90.00
_cell_angle_beta 90.00
_cell_angle_gamma 120.00
_symmetry_space_group_name_H-M 'P 6/m m m'
_symmetry_Int_Tables_number 191
_symmetry_space_group_name_Hall '-P 6 2'
loop_
_atom_site_label
_atom_site_fract_x
_atom_site_fract_y
_atom_site_fract_z
_atom_site_occupancy
Pr1 0.0000 0.0000 0.0000 1
Y1 0.3333 0.6667 0.0000 1
Al1 0.0000 0.3357 0.5000 1
```

(4)
Pm4Te4N: relaxed, PBE.

Computed properties:
density of states at the Fermi level = 0.252 states/eV/atom
uncorrected formation energy = -1.462 eV per atom
calculated volume = 29.49 Å³ per atom
E = -53.1 eV per formula unit
total magnetization = 0.0 μB/cell

```
data_Pm4Te4N
_cell_length_a 9.004
_cell_length_b 9.004
_cell_length_c 6.548
_cell_angle_alpha 90.00
_cell_angle_beta 90.00
_cell_angle_gamma 90.00
_symmetry_space_group_name_H-M 'P 42/n m c'
_symmetry_Int_Tables_number 137
loop_
_symmetry_equiv_pos_as_xyz
'x,y,z'
'-x,-y,-z'
'-y+1/2,x,z+1/2'
'y+1/2,-x,-z+1/2'
'-x+1/2,-y+1/2,z'
'x+1/2,y+1/2,-z'
'y,-x+1/2,z+1/2'
'-y,x+1/2,-z+1/2'
'x+1/2,-y,-z'
'-x+1/2,y,z'
'-y,-x,-z+1/2'
'y,x,z+1/2'
'-x,y+1/2,-z'
'x,-y+1/2,z'
'y+1/2,x+1/2,-z+1/2'
'-y+1/2,-x+1/2,z+1/2'
loop_
_atom_site_label
_atom_site_fract_x
_atom_site_fract_y
_atom_site_fract_z
_atom_site_occupancy
Pm1 0.039 0.750 0.052 1
Te1 0.028 0.250 0.436 1
N1 0.250 0.750 0.250 1
```